Arrangement one

12
Lattice="8.200 -0.452 0.000 1.931 3.262 0.000 0.966 1.631 5.686" Properties=species:S:1:pos:R:3 comment="PBE Ni5MoRh6, relaxed" spacegroup="No. 65" crystal_system=orthorhombic magnetic_moment_mub_per_cell=3.64 pbc="T T T"
Ni 5.066 1.405 3.836
Ni 0.966 1.631 1.879
Ni 5.066 1.405 0.000
Ni 1.931 3.262 3.807
Ni 6.031 3.036 1.850
Mo 0.000 0.000 0.000
Rh 6.623 0.485 1.913
Rh 3.508 2.325 1.913
Rh 2.538 0.697 0.000
Rh 7.594 2.113 0.000
Rh 7.589 2.116 3.773
Rh 4.474 3.956 3.773

Arrangement two

12
Lattice="4.511 -0.036 0.120 -0.013 4.966 2.036 0.116 0.028 7.008" Properties=species:S:1:pos:R:3 comment="PBE Ni5MoRh6, relaxed" spacegroup="No. 12" crystal_system=monoclinic magnetic_moment_mub_per_cell=0.02 pbc="T T T"
Ni 3.072 0.806 5.130
Ni 1.539 1.651 3.059
Ni -0.006 2.483 1.018
Ni 3.075 3.307 6.105
Ni 1.542 4.152 4.034
Mo 0.000 0.000 0.000
Rh 3.796 2.862 3.630
Rh 3.802 0.398 2.620
Rh 2.362 3.709 8.585
Rh 2.252 1.250 0.580
Rh 0.812 4.560 6.544
Rh 0.818 2.096 5.534

Which of them is most stable? Easy: arrangement one.

Arrangement one

14
Lattice="-1.404 -5.865 -2.155 6.035 -0.142 -2.135 -3.641 -0.705 5.923" Properties=species:S:1:pos:R:3 comment="PBE Ni4MoRh2, relaxed" spacegroup="No. 1" crystal_system=triclinic magnetic_moment_mub_per_cell=0.00 pbc="T T T"
Ni 3.537 -5.747 -2.630
Ni 3.239 -1.676 0.194
Ni 1.223 -5.637 1.594
Ni 2.375 -5.707 -0.524
Ni -0.750 -2.058 0.924
Ni -3.112 -3.696 3.064
Ni 0.998 -3.205 2.307
Ni 1.164 -5.266 -2.405
Mo 1.287 -0.617 1.701
Mo -2.678 -2.028 4.926
Rh -1.155 -4.641 1.532
Rh 2.878 -3.322 -1.756
Rh 0.608 -3.832 -0.278
Rh -0.326 -1.469 3.603

Arrangement two

14
Lattice="-0.079 -7.141 -5.201 3.000 2.201 -3.068 1.792 -2.665 3.632" Properties=species:S:1:pos:R:3 comment="PBE Ni4MoRh2, relaxed" spacegroup="No. 64" crystal_system=orthorhombic magnetic_moment_mub_per_cell=3.52 pbc="T T T"
Ni 1.484 -4.347 -5.570
Ni 2.363 -5.569 -3.645
Ni 0.862 -6.669 -2.111
Ni -0.014 -5.199 -3.855
Ni 4.727 -2.406 -0.781
Ni 3.851 -0.936 -2.526
Ni 2.350 -2.036 -0.991
Ni 3.229 -3.258 0.934
Mo 0.000 0.000 0.000
Mo 1.460 -2.470 -4.134
Rh 2.657 0.550 -0.797
Rh 2.056 -8.156 -3.840
Rh 3.595 -3.485 -2.774
Rh 1.117 -4.120 -1.863

Which of them is most stable? Easy: arrangement one.

Arrangement one

6
Lattice="-4.192 -0.890 2.636 -4.407 1.832 -1.590 -3.506 -3.112 -1.826" Properties=species:S:1:pos:R:3 comment="PBE NiMoRh4, relaxed" spacegroup="No. 216" crystal_system=cubic magnetic_moment_mub_per_cell=0.73 pbc="T T T"
Ni 0.000 0.000 0.000
Mo -3.026 -0.542 -0.195
Rh -5.812 0.203 0.427
Rh -5.361 -2.275 0.309
Rh -7.570 -1.356 -0.488
Rh -5.469 -0.910 -1.809

Arrangement two

12
Lattice="6.833 -0.556 0.000 -0.139 5.205 0.000 0.000 0.000 4.742" Properties=species:S:1:pos:R:3 comment="PBE NiMoRh4, relaxed" spacegroup="No. 13" crystal_system=monoclinic magnetic_moment_mub_per_cell=0.00 pbc="T T T"
Ni 3.382 1.023 0.405
Ni 3.312 3.626 4.336
Mo -0.035 1.301 1.964
Mo -0.104 3.904 2.778
Rh 1.107 2.084 4.344
Rh 2.268 0.266 2.797
Rh 5.656 -0.038 4.344
Rh 4.425 4.384 1.945
Rh 4.495 1.781 2.797
Rh 1.038 4.687 0.398
Rh 2.199 2.868 1.945
Rh 5.586 2.565 0.398

Which of them is most stable? Easy: arrangement two.

Arrangement one

9
Lattice="-1.048 -2.396 -0.781 2.920 -3.130 5.686 -6.632 4.068 1.190" Properties=species:S:1:pos:R:3 comment="PBE NiMo2Rh6, relaxed" spacegroup="No. 71" crystal_system=orthorhombic magnetic_moment_mub_per_cell=0.00 pbc="T T T"
Ni 1.460 -1.565 2.843
Mo -1.598 0.366 1.022
Mo -3.161 -1.824 5.074
Rh -3.143 0.274 3.379
Rh -1.617 -1.732 2.717
Rh -0.559 -2.866 4.777
Rh 0.019 -1.780 0.667
Rh 1.853 -3.746 4.239
Rh -4.201 1.408 1.319

Arrangement two

9
Lattice="-1.440 -2.436 -2.631 -2.306 -3.658 1.811 -7.971 1.805 -0.145" Properties=species:S:1:pos:R:3 comment="PBE NiMo2Rh6, relaxed" spacegroup="No. 12" crystal_system=monoclinic magnetic_moment_mub_per_cell=0.00 pbc="T T T"
Ni -5.138 -0.926 0.833
Mo -7.643 -1.766 0.143
Mo -4.074 -2.523 -1.109
Rh -10.155 -2.552 -0.591
Rh -1.562 -1.737 -0.374
Rh -4.732 -5.144 -1.159
Rh -5.771 -3.529 0.751
Rh -6.985 0.856 0.194
Rh -5.946 -0.760 -1.716

Which of them is most stable? Easy: arrangement two.

Arrangement one

12
Lattice="4.644 -0.927 1.235 0.256 4.729 1.235 -0.838 -0.651 6.565" Properties=species:S:1:pos:R:3 comment="PBE Ni3MoRh2, relaxed" spacegroup="No. 15" crystal_system=monoclinic magnetic_moment_mub_per_cell=0.00 pbc="T T T"
Ni 1.934 2.134 2.876
Ni 2.128 1.018 6.159
Ni 3.175 1.691 8.363
Ni 1.216 0.170 3.956
Ni 2.846 2.981 5.080
Ni 0.886 1.461 0.673
Mo 3.620 -0.906 6.159
Mo 0.442 4.057 2.876
Rh 0.178 2.499 5.023
Rh 2.884 -0.124 1.741
Rh 1.178 3.275 7.295
Rh 3.884 0.653 4.012

Arrangement two

12
Lattice="-2.055 -3.063 -3.215 4.782 -0.663 0.795 -2.886 -2.717 6.545" Properties=species:S:1:pos:R:3 comment="PBE Ni3MoRh2, relaxed" spacegroup="No. 69" crystal_system=orthorhombic magnetic_moment_mub_per_cell=0.04 pbc="T T T"
Ni 2.845 -2.005 0.678
Ni 0.457 -3.223 5.477
Ni -3.003 -4.437 3.447
Ni -0.615 -3.220 -1.352
Ni -0.496 -1.492 1.738
Ni 0.337 -4.950 2.387
Mo 0.852 -3.402 0.583
Mo -1.011 -3.041 3.543
Rh 1.630 -2.621 3.065
Rh 2.046 -2.795 -1.815
Rh -1.788 -3.821 1.060
Rh 0.681 -0.931 -0.605

Which of them is most stable? Easy: arrangement one.

Arrangement one

14
Lattice="4.244 -0.004 0.003 -0.007 6.118 -3.535 0.004 0.003 7.075" Properties=species:S:1:pos:R:3 comment="PBE Ni3MoRh3, relaxed" spacegroup="No. 2" crystal_system=triclinic magnetic_moment_mub_per_cell=3.74 pbc="T T T"
Ni 1.064 4.997 2.597
Ni 1.044 1.374 -0.495
Ni 1.066 5.856 -2.090
Ni 3.177 1.120 0.946
Ni 3.197 4.743 4.038
Ni 3.175 0.261 5.634
Mo 1.058 4.077 0.004
Mo 3.183 2.040 3.539
Rh 3.183 3.865 1.614
Rh 3.176 2.794 -0.991
Rh 3.181 5.581 -0.617
Rh 1.058 2.252 1.929
Rh 1.065 3.323 4.534
Rh 1.059 0.535 4.160

Arrangement two

14
Lattice="2.677 0.000 0.000 0.000 10.648 0.000 0.000 -5.324 9.221" Properties=species:S:1:pos:R:3 comment="PBE Ni3MoRh3, relaxed" spacegroup="No. 176" crystal_system=hexagonal magnetic_moment_mub_per_cell=3.42 pbc="T T T"
Ni 2.007 2.364 6.799
Ni 2.007 -0.618 3.775
Ni 0.669 7.070 1.352
Ni 2.007 -1.746 7.869
Ni 0.669 5.941 5.446
Ni 0.669 2.960 2.422
Mo 0.669 5.324 3.074
Mo 2.007 0.000 6.147
Rh 2.007 7.494 3.551
Rh 2.007 4.652 0.956
Rh 0.669 1.498 4.506
Rh 2.007 3.826 4.715
Rh 0.669 0.672 8.265
Rh 0.669 -2.170 5.670

Which of them is most stable? Easy: arrangement one.

Arrangement one

8
Lattice="-2.030 -1.694 2.617 2.317 -2.909 -0.086 5.006 1.390 7.426" Properties=species:S:1:pos:R:3 comment="PBE NiMoRu2, relaxed" spacegroup="No. 122" crystal_system=tetragonal magnetic_moment_mub_per_cell=0.00 pbc="T T T"
Ru 0.353 -1.008 3.378
Ru 2.365 -1.749 2.234
Ru 3.954 -0.799 6.515
Ru 3.914 -2.869 7.788
Mo 0.000 0.000 0.000
Mo 1.560 -1.303 5.654
Ni 0.143 -2.301 1.265
Ni 3.733 -1.910 4.303

Arrangement two

4
Lattice="2.725 0.000 0.000 0.000 3.714 0.000 0.000 0.000 5.448" Properties=species:S:1:pos:R:3 comment="PBE NiMoRu2, relaxed" spacegroup="No. 47" crystal_system=orthorhombic magnetic_moment_mub_per_cell=0.00 pbc="T T T"
Mo 1.362 1.857 1.362
Ni 1.362 1.857 4.086
Ru 0.000 0.000 5.372
Ru 0.000 0.000 2.800

Which of them is most stable? Easy: arrangement two.

Arrangement one

4
Lattice="-3.087 2.100 -2.111 -1.935 -1.839 -3.357 -4.077 -1.293 0.319" Properties=species:S:1:pos:R:3 comment="PBE NiMoRu2, relaxed" spacegroup="No. 216" crystal_system=cubic magnetic_moment_mub_per_cell=0.00 pbc="T T T"
Mo -4.550 -0.516 -2.575
Ni -6.825 -0.774 -3.862
Ru 0.000 0.000 0.000
Ru -2.275 -0.258 -1.287

Arrangement two

4
Lattice="4.575 0.002 0.000 -1.359 4.368 0.000 0.000 0.000 2.767" Properties=species:S:1:pos:R:3 comment="PBE NiMoRu2, relaxed" spacegroup="No. 65" crystal_system=orthorhombic magnetic_moment_mub_per_cell=0.00 pbc="T T T"
Mo 2.287 0.001 1.383
Ni -0.680 2.184 1.383
Ru 0.000 0.000 0.000
Ru 1.608 2.185 0.000

Arrangement three

4
Lattice="3.798 0.000 0.000 0.000 2.706 0.016 0.000 2.681 5.354" Properties=species:S:1:pos:R:3 comment="PBE NiMoRu2, relaxed" spacegroup="No. 6" crystal_system=monoclinic magnetic_moment_mub_per_cell=0.00 pbc="T T T"
Mo 0.000 2.697 2.748
Ni 1.899 4.040 4.049
Ru 0.000 2.679 5.320
Ru 1.899 1.346 1.294

Which of them is most stable? Easy: arrangement three.

Arrangement one

4
Lattice="4.698 0.004 -0.002 1.686 4.385 -0.005 -3.195 -2.195 2.664" Properties=species:S:1:pos:R:3 comment="PBE NiMoRu2, relaxed" spacegroup="No. 5" crystal_system=monoclinic magnetic_moment_mub_per_cell=0.00 pbc="T T T"
Mo 3.197 2.188 -0.004
Ni 0.842 2.191 1.327
Ru 4.693 0.012 -0.002
Ru 2.347 0.002 1.329

Arrangement two

4
Lattice="-2.300 1.744 -1.275 -1.490 0.067 2.780 2.777 4.669 1.376" Properties=species:S:1:pos:R:3 comment="PBE NiMoRu2, relaxed" spacegroup="No. 99" crystal_system=tetragonal magnetic_moment_mub_per_cell=0.57 pbc="T T T"
Mo 1.449 2.436 0.718
Ni 0.188 4.407 1.785
Ru 2.683 4.510 1.329
Ru -1.167 2.129 1.113

Arrangement three

4
Lattice="-6.427 0.446 -6.074 -7.963 0.057 -3.871 -7.158 2.561 -4.538" Properties=species:S:1:pos:R:3 comment="PBE NiMoRu2, relaxed" spacegroup="No. 166" crystal_system=trigonal magnetic_moment_mub_per_cell=0.71 pbc="T T T"
Mo -5.387 0.766 -3.621
Ni -16.161 2.298 -10.862
Ru -0.056 0.008 -0.037
Ru -10.718 1.524 -7.204

Which of them is most stable? Easy: arrangement one.

Arrangement one

4
Lattice="-2.056 -0.394 -1.756 0.310 -2.704 0.244 -4.792 -0.042 5.622" Properties=species:S:1:pos:R:3 comment="PBE NiMoRu2, relaxed" spacegroup="No. 123" crystal_system=tetragonal magnetic_moment_mub_per_cell=0.00 pbc="T T T"
Mo -2.071 -1.559 0.649
Ni -4.467 -1.580 3.460
Ru -4.735 -0.042 5.554
Ru -2.453 -0.022 2.878

Arrangement two

4
Lattice="2.694 0.015 0.000 -0.014 2.694 0.000 0.000 0.000 7.598" Properties=species:S:1:pos:R:3 comment="PBE NiMoRu2, relaxed" spacegroup="No. 99" crystal_system=tetragonal magnetic_moment_mub_per_cell=0.00 pbc="T T T"
Mo 0.000 0.000 3.914
Ni 1.340 1.355 5.715
Ru 0.000 0.000 7.589
Ru 1.340 1.355 1.777

Arrangement three

4
Lattice="0.000 3.027 3.027 3.027 0.000 3.027 3.027 3.027 0.000" Properties=species:S:1:pos:R:3 comment="PBE NiMoRu2, relaxed" spacegroup="No. 225" crystal_system=cubic magnetic_moment_mub_per_cell=0.00 pbc="T T T"
Ru 1.513 1.513 1.513
Ru 4.540 4.540 4.540
Mo 3.027 3.027 3.027
Ni 0.000 0.000 0.000

Which of them is most stable? Easy: arrangement two.